The following is a DFT calculation (GGA-PBEsol) of a geometry-optimized BaSrCd4 structure.

Values from the calculation:
energy relative to the elements = -305 meV/atom
total energy = -1.767 eV/atom
symmetry = F-43m
D(E_F) = 4.973 states/eV/f.u.
total magnetic moment = 0.00 μB per cell
ρ = 6.76 g cm⁻³

Lattice parameters (Å, degrees): 6.167 6.167 6.167 60.00 60.00 60.00
Fractional coordinates of all 6 atoms:
1 Sr 0.750 0.750 0.750
2 Ba 0.000 0.000 0.000
3 Cd 0.375 0.375 0.375
4 Cd 0.375 0.375 0.875
5 Cd 0.875 0.375 0.375
6 Cd 0.375 0.875 0.375